#one
{"formula": "Mn2CuPd4", "functional": "GGA-PBE", "state": "optimized geometry", "dos_at_fermi_per_ev_fu": 3.230, "total_magnetization_mub_per_atom": 1.297, "lattice": [[2.7802, 0.0000, 0.0000], [0.0000, 6.6784, 0.1247], [-1.3901, -3.1711, 5.6611]], "species": ["Mn", "Mn", "Cu", "Pd", "Pd", "Pd", "Pd"], "fractional_positions": [[0.7772, 0.8342, 0.5543], [0.2228, 0.1658, 0.4457], [0.0000, 0.0000, 0.0000], [0.9141, 0.2743, 0.8282], [0.0859, 0.7257, 0.1718], [0.6328, 0.3890, 0.2656], [0.3672, 0.6110, 0.7344]]}

#two
{"formula": "Mn2CuPd4", "functional": "GGA-PBE", "state": "optimized geometry", "dos_at_fermi_per_ev_fu": 2.397, "total_magnetization_mub_per_atom": 1.320, "lattice": [[-0.2127, 4.2928, -4.3704], [2.6388, -3.8351, -3.8955], [-6.5561, -0.1502, 0.1715]], "species": ["Mn", "Mn", "Mn", "Mn", "Cu", "Cu", "Pd", "Pd", "Pd", "Pd", "Pd", "Pd", "Pd", "Pd"], "fractional_positions": [[0.0000, 0.7539, 0.4984], [0.0000, 0.2461, 0.5016], [0.5000, 0.7461, 0.5016], [0.5000, 0.2539, 0.4984], [0.0000, 0.0000, 0.0000], [0.5000, 0.5000, 0.0000], [0.7557, 0.6262, 0.7620], [0.7556, 0.3738, 0.2380], [0.7444, 0.8738, 0.2380], [0.7443, 0.1262, 0.7620], [0.2557, 0.8738, 0.2380], [0.2556, 0.1262, 0.7620], [0.2444, 0.6262, 0.7620], [0.2443, 0.3738, 0.2380]]}

Top of the stability list: #two, leading by 0.035 eV/atom.

#one
{"formula": "MnCuPd6", "functional": "GGA-PBE", "state": "optimized geometry", "dos_at_fermi_per_ev_fu": 9.452, "total_magnetization_mub_per_atom": 0.586, "lattice": [[3.9025, 0.0000, 0.0000], [0.0000, 3.9025, 0.0000], [0.0000, 0.0000, 7.8422]], "species": ["Mn", "Cu", "Pd", "Pd", "Pd", "Pd", "Pd", "Pd"], "fractional_positions": [[0.0000, 0.0000, 0.0000], [0.0000, 0.0000, 0.5000], [0.5000, 0.5000, 0.0000], [0.5000, 0.5000, 0.5000], [0.5000, 0.0000, 0.2514], [0.5000, 0.0000, 0.7486], [0.0000, 0.5000, 0.2514], [0.0000, 0.5000, 0.7486]]}

#two
{"formula": "MnCuPd6", "functional": "GGA-PBE", "state": "optimized geometry", "dos_at_fermi_per_ev_fu": 10.104, "total_magnetization_mub_per_atom": 0.554, "lattice": [[4.5949, 0.6750, 0.0594], [1.0182, 4.5312, 0.0594], [1.7091, 1.5852, 6.7370]], "species": ["Mn", "Cu", "Pd", "Pd", "Pd", "Pd", "Pd", "Pd"], "fractional_positions": [[0.5000, 0.5000, 0.5000], [0.0000, 0.0000, 0.0000], [0.0630, 0.5526, 0.3022], [0.5526, 0.0630, 0.3022], [0.4474, 0.9370, 0.6978], [0.9370, 0.4474, 0.6978], [0.3555, 0.3555, 0.9338], [0.6445, 0.6445, 0.0662]]}

Top of the stability list: #one, leading by 0.282 eV/atom.

#one
{"formula": "MnCu2Pd3", "functional": "GGA-PBE", "state": "optimized geometry", "dos_at_fermi_per_ev_fu": 1.971, "total_magnetization_mub_per_atom": 0.743, "lattice": [[-1.9984, 3.2725, -2.0896], [-3.8018, -0.4003, 3.0091], [3.4175, 5.2936, 5.0220]], "species": ["Mn", "Mn", "Cu", "Cu", "Cu", "Cu", "Pd", "Pd", "Pd", "Pd", "Pd", "Pd"], "fractional_positions": [[0.0000, 0.9560, 0.9051], [0.0000, 0.4560, 0.0949], [0.0000, 0.9472, 0.2466], [0.5000, 0.1167, 0.4150], [0.0000, 0.4472, 0.7534], [0.5000, 0.6167, 0.5850], [0.5000, 0.1268, 0.0871], [0.5000, 0.1370, 0.7383], [0.0000, 0.4176, 0.4210], [0.5000, 0.6268, 0.9129], [0.5000, 0.6370, 0.2617], [0.0000, 0.9176, 0.5790]]}

#two
{"formula": "MnCu2Pd3", "functional": "GGA-PBE", "state": "optimized geometry", "dos_at_fermi_per_ev_fu": 1.109, "total_magnetization_mub_per_atom": 0.773, "lattice": [[-1.7205, 3.6742, 1.5824], [-3.3960, 3.1329, -5.0689], [-4.9860, -2.9791, 1.4990]], "species": ["Mn", "Mn", "Cu", "Cu", "Cu", "Cu", "Pd", "Pd", "Pd", "Pd", "Pd", "Pd"], "fractional_positions": [[0.3326, 0.3283, 0.0000], [0.6674, 0.6717, 0.0000], [0.0000, 0.0000, 0.0000], [0.0000, 0.0000, 0.5000], [0.3277, 0.3363, 0.5000], [0.6723, 0.6637, 0.5000], [0.8303, 0.3329, 0.7474], [0.5000, 0.0000, 0.2556], [0.1697, 0.6671, 0.2526], [0.8303, 0.3329, 0.2526], [0.1697, 0.6671, 0.7474], [0.5000, 0.0000, 0.7444]]}

Top of the stability list: #two, leading by 0.069 eV/atom.

#one
{"formula": "MnCu4Pd2", "functional": "GGA-PBE", "state": "optimized geometry", "dos_at_fermi_per_ev_fu": 3.647, "total_magnetization_mub_per_atom": 0.662, "lattice": [[4.5158, 0.0000, -1.3645], [-0.4126, 4.4967, -1.3653], [-0.7413, -0.8133, 5.7014]], "species": ["Mn", "Cu", "Cu", "Cu", "Cu", "Pd", "Pd"], "fractional_positions": [[0.0000, 0.0000, 0.0000], [0.7500, 0.2500, 0.5000], [0.2500, 0.7500, 0.5000], [0.5000, 0.0000, 0.0000], [0.0000, 0.5000, 0.0000], [0.6420, 0.6420, 0.2840], [0.3580, 0.3580, 0.7160]]}

#two
{"formula": "MnCu4Pd2", "functional": "GGA-PBE", "state": "optimized geometry", "dos_at_fermi_per_ev_fu": 2.819, "total_magnetization_mub_per_atom": 0.645, "lattice": [[4.3642, 0.0000, 0.0000], [0.0000, 6.8153, 0.0000], [0.0000, 0.0000, 6.8153]], "species": ["Mn", "Mn", "Cu", "Cu", "Cu", "Cu", "Cu", "Cu", "Cu", "Cu", "Pd", "Pd", "Pd", "Pd"], "fractional_positions": [[0.5000, 0.0000, 0.0000], [0.0000, 0.5000, 0.5000], [0.0000, 0.1303, 0.3888], [0.0000, 0.8697, 0.6112], [0.5000, 0.1112, 0.6303], [0.5000, 0.8888, 0.3697], [0.5000, 0.3697, 0.8888], [0.5000, 0.6303, 0.1112], [0.0000, 0.3888, 0.1303], [0.0000, 0.6112, 0.8697], [0.0000, 0.2023, 0.7977], [0.0000, 0.7977, 0.2023], [0.5000, 0.7023, 0.7023], [0.5000, 0.2977, 0.2977]]}

Top of the stability list: #two, leading by 0.273 eV/atom.

#one
{"formula": "MnCu4Pd3", "functional": "GGA-PBE", "state": "optimized geometry", "dos_at_fermi_per_ev_fu": 2.148, "total_magnetization_mub_per_atom": 0.551, "lattice": [[0.2851, 3.1855, -1.8518], [-2.0703, -1.5103, -2.9168], [-5.5001, 1.6350, 5.6535]], "species": ["Mn", "Pd", "Pd", "Pd", "Cu", "Cu", "Cu", "Cu"], "fractional_positions": [[0.5000, 0.0000, 0.0000], [0.0000, 0.5000, 0.0000], [0.8689, 0.8688, 0.7379], [0.1311, 0.1312, 0.2621], [0.7516, 0.2515, 0.5031], [0.2484, 0.7485, 0.4969], [0.3691, 0.3688, 0.7382], [0.6309, 0.6312, 0.2618]]}

#two
{"formula": "MnCu4Pd3", "functional": "GGA-PBE", "state": "optimized geometry", "dos_at_fermi_per_ev_fu": 3.143, "total_magnetization_mub_per_atom": 0.590, "lattice": [[3.9132, 0.0000, 0.0000], [0.0000, 3.6096, -1.4999], [-1.9566, -9.8882, 11.8498]], "species": ["Mn", "Cu", "Cu", "Cu", "Cu", "Pd", "Pd", "Pd"], "fractional_positions": [[0.5000, 0.0000, 0.0000], [0.6249, 0.3744, 0.2499], [0.3751, 0.6256, 0.7501], [0.8750, 0.1243, 0.7499], [0.1250, 0.8757, 0.2501], [0.0000, 0.5000, 0.0000], [0.2493, 0.2452, 0.4986], [0.7507, 0.7548, 0.5014]]}

Top of the stability list: #one, leading by 0.045 eV/atom.

#one
{"formula": "MnCu3Pd4", "functional": "GGA-PBE", "state": "optimized geometry", "dos_at_fermi_per_ev_fu": 2.422, "total_magnetization_mub_per_atom": 0.579, "lattice": [[4.3157, 0.0000, 0.0000], [0.0000, 6.0449, 0.0000], [0.0000, 0.0000, 8.6299]], "species": ["Mn", "Mn", "Pd", "Pd", "Pd", "Pd", "Pd", "Pd", "Pd", "Pd", "Cu", "Cu", "Cu", "Cu", "Cu", "Cu"], "fractional_positions": [[0.0000, 0.5000, 0.0000], [0.0000, 0.5000, 0.5000], [0.5000, 0.7528, 0.0000], [0.5000, 0.7528, 0.5000], [0.5000, 0.2472, 0.0000], [0.5000, 0.2472, 0.5000], [0.0008, 0.7529, 0.7500], [0.9992, 0.7529, 0.2500], [0.9992, 0.2471, 0.2500], [0.0008, 0.2471, 0.7500], [0.0000, 0.0000, 0.0000], [0.0000, 0.0000, 0.5000], [0.5008, 0.0000, 0.7500], [0.4992, 0.0000, 0.2500], [0.5007, 0.5000, 0.7500], [0.4993, 0.5000, 0.2500]]}

#two
{"formula": "MnCu3Pd4", "functional": "GGA-PBE", "state": "optimized geometry", "dos_at_fermi_per_ev_fu": 3.276, "total_magnetization_mub_per_atom": 0.604, "lattice": [[-0.7205, -0.9364, 5.2166], [-4.4870, -2.8977, -1.1399], [4.2988, -6.4359, -0.5615]], "species": ["Mn", "Mn", "Cu", "Cu", "Cu", "Cu", "Cu", "Cu", "Pd", "Pd", "Pd", "Pd", "Pd", "Pd", "Pd", "Pd"], "fractional_positions": [[0.8143, 0.5000, 0.0000], [0.3143, 0.5000, 0.5000], [0.8145, 0.0000, 0.0000], [0.0645, 0.7564, 0.2500], [0.5645, 0.2436, 0.2500], [0.3145, 0.0000, 0.5000], [0.5645, 0.2436, 0.7500], [0.0645, 0.7564, 0.7500], [0.3143, 0.0000, 0.0000], [0.3143, 0.5000, 0.0000], [0.0644, 0.2510, 0.2500], [0.5644, 0.7490, 0.2500], [0.8143, 0.5000, 0.5000], [0.8143, 0.0000, 0.5000], [0.5644, 0.7490, 0.7500], [0.0644, 0.2510, 0.7500]]}

Top of the stability list: #one, leading by 0.058 eV/atom.